# ZnHAu2

A crystal of ZnHAu2 relaxed with PBEsol (SCAN, the Alexandria database).

Cell: 6.022 6.022 6.022 Å, 90.00 90.00 90.00°
Space group Fm-3m (No. 225)
Inequivalent atoms, fractional coordinates:
Zn 0.000 0.000 0.000
H 0.000 0.000 0.500
Au 0.250 0.250 0.250

## Properties
Final energy ... -614.50 eV/cell
Mass density ... 14.0 g/cm³

---

# As2HRhBr

A crystal of As2HRhBr relaxed with PBEsol (SCAN, the Alexandria database).

Cell: 3.914 3.914 4.862 Å, 90.00 90.00 90.00°
Space group P4/mmm (No. 123)
Inequivalent atoms, fractional coordinates:
As 0.000 0.500 0.000
H 0.000 0.000 0.000
Rh 0.500 0.500 0.500
Br 0.000 0.000 0.500

## Properties
Final energy ... -93.49 eV/cell
Mass density ... 7.4 g/cm³

---

# CeCdPd

A crystal of CeCdPd relaxed with PBEsol (SCAN, the Alexandria database).

Cell: 7.5205 7.5205 3.9701 Å, 90.00 90.00 120.00°
Space group P-62m (No. 189)
Inequivalent atoms, fractional coordinates:
Ce 0.0000 0.5911 0.0000
Cd 0.0000 0.2518 0.5000
Pd 0.0000 0.0000 0.0000
Pd 0.3333 0.6667 0.5000

## Properties
Final energy ... -329.07 eV/cell
Mass density ... 9.2 g/cm³

---

# Li4CrTe3O12

A crystal of Li4CrTe3O12 relaxed with PBEsol (SCAN, the Alexandria database).

Cell: 4.941 8.648 5.119 Å, 90.00 93.51 90.00°
Space group P2 (No. 3)
Inequivalent atoms, fractional coordinates:
Li 0.000 0.000 0.000
Li 0.000 0.313 0.500
Li 0.500 0.483 0.500
Li 0.500 0.886 0.000
Cr 0.500 0.078 0.500
Te 0.000 0.579 0.000
Te 0.000 0.786 0.500
Te 0.500 0.255 0.000
O 0.206 0.764 0.834
O 0.220 0.622 0.353
O 0.241 0.935 0.349
O 0.278 0.407 0.815
O 0.294 0.239 0.312
O 0.302 0.087 0.812

## Properties
ΔE_f (raw) ... -1.66 eV per atom
Final energy ... -247.59 eV/cell
Mass density ... 5.0 g/cm³

---

# InNiRh

A crystal of InNiRh relaxed with PBEsol (SCAN, the Alexandria database).

Cell: 3.048 3.048 9.261 Å, 90.00 90.00 90.00°
Space group I4mm (No. 107)
Inequivalent atoms, fractional coordinates:
In 0.000 0.000 0.000
Ni 0.000 0.000 0.336
Rh 0.000 0.000 0.682

## Properties
Final energy ... -166.97 eV/cell
Relative energy among the computed polymorphs ... 0 meV per atom
Mass density ... 10.7 g/cm³

---

# Cr2InP

A crystal of Cr2InP relaxed with PBEsol (SCAN, the Alexandria database).

Cell: 6.059 6.059 6.059 Å, 90.00 90.00 90.00°
Space group Fm-3m (No. 225)
Inequivalent atoms, fractional coordinates:
Cr 0.250 0.250 0.250
In 0.000 0.000 0.000
P 0.000 0.000 0.500

## Properties
Final energy ... -315.97 eV/cell
Relative energy among the computed polymorphs ... 485 meV per atom
Mass density ... 7.5 g/cm³